No. 1
Material: K4Np3RhS8
Method: DFT, GGA-PBE
State: optimized geometry

Calculated values
The density comes out at 5.10 g cm⁻³. For the total energy, the calculation gives -0.236 Ha/atom.

Unit cell a=7.9040 b=7.9040 c=22.1565 alpha=90.00 beta=90.00 gamma=120.00
Closest atoms and distances in Å follow each position.
Space group R-3m (No. 166, hexagonal axes)
Symmetry-distinct sites (fractional):
K (0.0000, 0.0000, 0.0000)  6 S 3.28
K (0.0000, 0.5000, 0.0000)  6 S 3.15-3.18
Np (0.0000, 0.5000, 0.5000)  6 S 2.74
Rh (0.0000, 0.0000, 0.5000)  6 S 2.62
S (0.0000, 0.0000, 0.2352)  3 Np 2.74
S (0.0137, 0.5068, 0.2315)  1 Rh 2.62, 2 Np 2.74

***

No. 2
Material: Ac8Os3I4Cl
Method: DFT, GGA-PBE
State: optimized geometry

Calculated values
The density comes out at 8.23 g cm⁻³. For the total energy, the calculation gives -0.200 Ha/atom.

Unit cell a=8.9277 b=8.9277 c=25.6785 alpha=90.00 beta=90.00 gamma=120.00
Closest atoms and distances in Å follow each position.
Space group R-3m (No. 166, hexagonal axes)
Symmetry-distinct sites (fractional):
Ac (0.0000, 0.0000, 0.2288)  3 Os 3.03
Ac (0.0262, 0.5131, 0.7712)  2 Os 2.95, 1 Cl 3.20
Os (0.0000, 0.5000, 0.5000)  6 Ac 2.95-3.03
I (0.0000, 0.0000, 0.0000)  6 Ac 3.58
I (0.0000, 0.5000, 0.0000)  6 Ac 3.72-3.80
Cl (0.0000, 0.0000, 0.5000)  6 Ac 3.20

***

No. 3
Material: EuHoCuPt
Method: DFT, GGA-PBE
State: optimized geometry

Calculated values
The density comes out at 10.89 g cm⁻³. For the total energy, the calculation gives -0.252 Ha/atom.

Unit cell a=7.0532 b=7.0532 c=7.0532 alpha=90.00 beta=90.00 gamma=90.00
Closest atoms and distances in Å follow each position.
Space group F-43m (No. 216)
Symmetry-distinct sites (fractional):
Eu (0.0000, 0.0000, 0.0000)  4 Cu 3.05, 4 Pt 3.05
Ho (0.0000, 0.0000, 0.5000)  4 Pt 3.05, 4 Cu 3.05
Cu (0.2500, 0.2500, 0.2500)  4 Ho 3.05, 4 Eu 3.05
Pt (0.2500, 0.2500, 0.7500)  4 Ho 3.05, 4 Eu 3.05

***

No. 4
Material: Ac2Mg5Cu5
Method: DFT, GGA-PBE
State: optimized geometry

Calculated values
The density comes out at 5.84 g cm⁻³. For the total energy, the calculation gives -0.117 Ha/atom.

Unit cell a=4.3514 b=5.9043 c=9.8858 alpha=90.00 beta=90.00 gamma=90.00
Closest atoms and distances in Å follow each position.
Space group Pmmm (No. 47)
Symmetry-distinct sites (fractional):
Ac (0.0000, 0.0000, 0.0000)  6 Cu 3.26-3.28, 8 Mg 3.54
Ac (0.0000, 0.5000, 0.5000)  6 Cu 3.39-3.55, 12 Mg 3.67-3.68
Mg (0.5000, 0.0000, 0.5000)  4 Cu 2.74, 4 Mg 3.00
Mg (0.5000, 0.2552, 0.2379)  5 Cu 2.76-2.80, 3 Mg 2.89-3.01
Cu (0.0000, 0.0000, 0.3313)  6 Mg 2.74-2.80
Cu (0.0000, 0.5000, 0.1405)  3 Cu 2.58-2.78, 4 Mg 2.78
Cu (0.5000, 0.5000, 0.0000)  4 Cu 2.58, 4 Mg 2.76